Dy3Tm3Th2 | PBE | optimized geometry

abc: 5.000 5.001 10.631
angles: 103.63 103.60 90.00
Element x y z (fractional)
Dy (0.627, 0.627, 0.254)
Dy (0.373, 0.373, 0.746)
Dy (0.500, 0.000, 0.000)
Tm (0.126, 0.126, 0.253)
Tm (0.000, 0.500, 0.000)
Tm (0.874, 0.874, 0.747)
Th (0.750, 0.250, 0.500)
Th (0.250, 0.750, 0.500)

Formation enthalpy at 0 K = 2 kJ/mol of atoms
E above lowest polymorph = 0 meV/atom

Ac4GeAsBr2 | PBE | optimized geometry

abc: 4.582 7.925 7.960
angles: 109.42 90.00 90.00
Element x y z (fractional)
Ac (0.500, 0.238, 0.219)
Ac (0.500, 0.762, 0.781)
Ac (0.000, 0.259, 0.782)
Ac (0.000, 0.741, 0.218)
Ge (0.000, 0.000, 0.000)
As (0.500, 0.500, 0.000)
Br (0.500, 0.000, 0.500)
Br (0.000, 0.500, 0.500)

Formation energy (no corrections) = -1.2832 eV/atom

EuAlCd2 | PBE | optimized geometry

abc: 5.120 5.120 5.120
angles: 60.00 60.00 60.00
Element x y z (fractional)
Eu (0.000, 0.000, 0.000)
Al (0.500, 0.500, 0.500)
Cd (0.250, 0.250, 0.250)
Cd (0.750, 0.750, 0.750)

Formation enthalpy at 0 K = -19 kJ/mol of atoms

Na2CaTl5 | PBE | optimized geometry

abc: 6.744 6.744 6.744
angles: 105.96 105.96 116.74
Element x y z (fractional)
Na (0.278, 0.778, 0.500)
Na (0.778, 0.278, 0.500)
Ca (0.778, 0.778, 0.000)
Tl (0.278, 0.278, 0.500)
Tl (0.278, 0.777, 0.000)
Tl (0.778, 0.278, 0.000)
Tl (0.778, 0.778, 0.500)
Tl (0.278, 0.277, 0.000)

Formation enthalpy at 0 K = -15 kJ/mol of atoms
E above lowest polymorph = 0 meV/atom

MnGa | PBE | optimized geometry

abc: 2.706 2.706 3.655
angles: 90.00 90.00 90.00
Element x y z (fractional)
Mn (0.500, 0.500, 0.500)
Ga (0.000, 0.000, 0.000)

Formation enthalpy at 0 K = -12 kJ/mol of atoms

CePu2Rh | PBE | optimized geometry

abc: 5.205 5.710 12.139
angles: 90.00 90.00 90.00
Element x y z (fractional)
Ce (0.250, 0.250, 0.041)
Ce (0.750, 0.750, 0.459)
Ce (0.750, 0.750, 0.959)
Ce (0.250, 0.250, 0.541)
Pu (0.750, 0.002, 0.188)
Pu (0.250, 0.998, 0.312)
Pu (0.250, 0.502, 0.812)
Pu (0.750, 0.498, 0.688)
Pu (0.250, 0.998, 0.812)
Pu (0.750, 0.002, 0.688)
Pu (0.750, 0.498, 0.188)
Pu (0.250, 0.502, 0.312)
Rh (0.750, 0.250, 0.418)
Rh (0.250, 0.750, 0.082)
Rh (0.250, 0.750, 0.582)
Rh (0.750, 0.250, 0.918)

Formation enthalpy at 0 K = -18 kJ/mol of atoms
E above lowest polymorph = 11 meV/atom

CaEr4Rh4 | PBE | optimized geometry

abc: 5.540 8.852 8.852
angles: 90.00 90.00 90.00
Element x y z (fractional)
Ca (0.000, 0.000, 0.000)
Ca (0.500, 0.500, 0.500)
Er (0.405, 0.327, 0.908)
Er (0.905, 0.592, 0.827)
Er (0.405, 0.673, 0.092)
Er (0.095, 0.173, 0.592)
Er (0.595, 0.908, 0.673)
Er (0.095, 0.827, 0.408)
Er (0.905, 0.408, 0.173)
Er (0.595, 0.092, 0.327)
Rh (0.594, 0.788, 0.369)
Rh (0.594, 0.212, 0.631)
Rh (0.094, 0.869, 0.712)
Rh (0.906, 0.288, 0.869)
Rh (0.906, 0.712, 0.131)
Rh (0.406, 0.369, 0.212)
Rh (0.406, 0.631, 0.788)
Rh (0.094, 0.131, 0.288)

Formation enthalpy at 0 K = -60 kJ/mol of atoms

BaSc2TaW | PBE | optimized geometry

abc: 5.105 5.105 5.706
angles: 90.00 90.00 90.00
Element x y z (fractional)
Sc (0.000, 0.500, 0.000)
Sc (0.500, 0.000, 0.000)
Ba (0.000, 0.000, 0.500)
W (0.500, 0.500, 0.500)
Ta (0.000, 0.000, 0.000)

Formation enthalpy at 0 K = 190 kJ/mol of atoms

no.,energy (eV per atom)
1,-5.23
2,-4.91
3,-4.16
4,-2.22
5,-6.23
6,-10.67
7,-6.14
8,-5.91